No. 1
The following is a DFT calculation (GGA-PBE) of crystalline AlTl2Cr2Se6 at its relaxed geometry.

## Properties
Energy relative to the elements, uncorrected (eV per atom): -0.562
SG: C2/m (12)
Crystal system: monoclinic

a = 6.4921 Å, b = 6.4921 Å, c = 7.8458 Å
α = 97.91°, β = 97.91°, γ = 120.40°
Last column: magnetic moment on the atom in μB.
Fractional coordinates of all 11 atoms:
Al (0.0000, 0.0000, 0.5000)  0.03
Tl (0.8369, 0.1631, 0.0000)  -0.02
Tl (0.1631, 0.8369, 0.0000)  -0.02
Cr (0.3283, 0.6717, 0.5000)  2.86
Cr (0.6717, 0.3283, 0.5000)  2.86
Se (0.7242, 0.7242, 0.6773)  -0.10
Se (0.0631, 0.3993, 0.6837)  -0.12
Se (0.2758, 0.2758, 0.3227)  -0.10
Se (0.3993, 0.0631, 0.6837)  -0.12
Se (0.9369, 0.6007, 0.3163)  -0.12
Se (0.6007, 0.9369, 0.3163)  -0.12



No. 2
The following is a DFT calculation (GGA-PBE) of crystalline La2TbPmDy5 at its relaxed geometry.

## Properties
Calculated formation energy (kJ/mol of formula units): 219
SG: I4/mcm (140)
Crystal system: tetragonal

a = 8.6835 Å, b = 8.6835 Å, c = 10.0309 Å
α = 115.65°, β = 115.65°, γ = 90.00°
Fractional coordinates of all 18 atoms:
La (0.1178, 0.3822, 0.0000)
La (0.6178, 0.1178, 0.0000)
La (0.3822, 0.8822, 0.0000)
La (0.8822, 0.6178, 0.0000)
Tb (0.2500, 0.7500, 0.5000)
Tb (0.7500, 0.2500, 0.5000)
Pm (0.2500, 0.2500, 0.5000)
Pm (0.7500, 0.7500, 0.5000)
Dy (0.9258, 0.4258, 0.2825)
Dy (0.6432, 0.1432, 0.7175)
Dy (0.0742, 0.5742, 0.7175)
Dy (0.1432, 0.0742, 0.7175)
Dy (0.5742, 0.6432, 0.7175)
Dy (0.8568, 0.9258, 0.2825)
Dy (0.4258, 0.3568, 0.2825)
Dy (0.3568, 0.8568, 0.2825)
Dy (0.5000, 0.5000, 0.0000)
Dy (0.0000, 0.0000, 0.0000)



no.,E_tot (eV per atom)
1,-4.982
2,-4.442